The following is a DFT calculation (GGA-PBE) of H4W after structural relaxation.

a b c (Å): 3.5022 3.5022 3.5022
angles (deg): 90.00 90.00 90.00
Each line ends with the local moment (μB).
Positions (direct):
H  0.5000  0.5000  0.0000  0.02
H  0.0000  0.5000  0.5000  0.02
W  0.5000  0.5000  0.5000  -1.52
H  0.5000  0.0000  0.5000  0.02
H  0.0000  0.0000  0.0000  0.18

V = 42.96 Å³ per cell
Polymorph energy (0 for the lowest one) = 871.6 meV per atom
Density of states at the Fermi level = 0.2451 states/eV per atom
Magnetization = 0.29 μB per atom


The following is a DFT calculation (GGA-PBE) of Li3Sc3IrO8 after structural relaxation.

a b c (Å): 6.2052 6.2048 6.1134
angles (deg): 120.51 90.00 120.00
Each line ends with the local moment (μB).
Positions (direct):
O  0.2360  0.4720  0.7270  0.05
O  0.7415  0.4830  0.7245  0.00
O  0.2585  0.5170  0.2755  0.00
Li  0.0000  0.0000  0.0000  0.00
Ir  0.0000  0.0000  0.5000  0.66
O  0.2450  0.0090  0.2730  0.05
O  0.7550  0.9910  0.7270  0.05
Li  0.0000  0.5000  0.0000  0.00
O  0.7640  0.5280  0.2730  0.05
Sc  0.5000  0.0000  0.5000  0.00
O  0.2360  0.9910  0.7270  0.05
Sc  0.0000  0.5000  0.5000  0.00
Li  0.5000  0.5000  0.0000  0.00
O  0.7640  0.0090  0.2730  0.05
Sc  0.5000  0.5000  0.5000  0.00

E_form (uncorrected) = -3577 kJ/mol of formula units
V = 165.15 Å³ per cell
Density of states at the Fermi level = 0.4505 states/eV per atom
Magnetization = 0.07 μB per atom


The following is a DFT calculation (GGA-PBE) of Y2ErCd after structural relaxation.

a b c (Å): 3.6140 3.6140 10.8808
angles (deg): 80.44 80.44 60.01
Each line ends with the local moment (μB).
Positions (direct):
Y  0.2555  0.2555  0.2336  0.05
Y  0.0780  0.0780  0.7660  0.13
Er  0.5000  0.5000  0.4998  0.29
Cd  0.6665  0.6665  0.0006  0.01

V = 120.80 Å³ per cell
Polymorph energy (0 for the lowest one) = 72.5 meV per atom
Density of states at the Fermi level = 1.3560 states/eV per atom
DFT formation energy = -0.0791 eV per atom
Magnetization = 0.19 μB per atom


The following is a DFT calculation (GGA-PBE) of Li4Mg3Hg2 after structural relaxation.

a b c (Å): 4.8309 5.4733 8.3895
angles (deg): 61.94 71.75 63.56
Positions (direct):
Hg  0.2315  0.8345  0.6941
Li  0.6810  0.6537  0.9874
Li  0.1250  0.3907  0.3614
Mg  0.0000  0.0000  0.0000
Li  0.8750  0.6093  0.6386
Mg  0.4466  0.7866  0.3262
Li  0.3190  0.3463  0.0126
Hg  0.7685  0.1655  0.3059
Mg  0.5534  0.2134  0.6738

V = 173.76 Å³ per cell
Polymorph energy (0 for the lowest one) = 6.4 meV per atom
Density of states at the Fermi level = 0.3236 states/eV per atom
DFT formation energy = -0.2194 eV per atom
Magnetization = 0.00 μB per atom


The following is a DFT calculation (GGA-PBE) of EuLu2Zn after structural relaxation.

a b c (Å): 3.5372 3.5372 8.9257
angles (deg): 90.00 90.00 90.00
Each line ends with the local moment (μB).
Positions (direct):
Lu  0.0000  0.0000  0.8111  0.10
Zn  0.5000  0.5000  0.0000  0.01
Eu  0.5000  0.5000  0.5000  6.92
Lu  0.0000  0.0000  0.1889  0.10

V = 111.68 Å³ per cell
Density of states at the Fermi level = 1.0744 states/eV per atom
DFT formation energy = -0.1070 eV per atom
Magnetization = 1.92 μB per atom


The following is a DFT calculation (GGA-PBE) of TaTiO after structural relaxation.

a b c (Å): 3.8030 3.8030 8.8754
angles (deg): 66.93 66.93 43.95
Positions (direct):
Ta  0.5782  0.5782  0.0322
O  0.1435  0.1435  0.8107
Ti  0.4451  0.4451  0.7728
O  0.6097  0.6097  0.4967
Ti  0.3081  0.3081  0.5345
Ta  0.1749  0.1749  0.2752

E_form (uncorrected) = -340 kJ/mol of formula units
V = 80.75 Å³ per cell
Density of states at the Fermi level = 0.6341 states/eV per atom
Magnetization = 0.00 μB per atom


The following is a DFT calculation (GGA-PBE) of PmPu2Ru after structural relaxation.

a b c (Å): 4.7302 4.7302 5.6842
angles (deg): 65.41 65.41 60.00
Each line ends with the local moment (μB).
Positions (direct):
Ru  0.0000  0.0000  0.0000  -0.59
Pu  0.7283  0.7283  0.8151  5.32
Pu  0.2717  0.2717  0.1849  5.32
Pm  0.5000  0.5000  0.5000  0.38

V = 96.60 Å³ per cell
Polymorph energy (0 for the lowest one) = 185.6 meV per atom
Density of states at the Fermi level = 3.3182 states/eV per atom
DFT formation energy = 0.1409 eV per atom
Magnetization = 2.77 μB per atom


The following is a DFT calculation (GGA-PBE) of FeCoOsPb2 after structural relaxation.

a b c (Å): 4.8870 4.3830 4.8870
angles (deg): 90.00 90.00 90.00
Each line ends with the local moment (μB).
Positions (direct):
Pb  0.5000  0.0000  0.0000  -0.02
Pb  0.0000  0.0000  0.5000  -0.03
Fe  0.0000  0.5000  0.0000  3.11
Co  0.0000  0.0000  0.0000  0.76
Os  0.5000  0.5000  0.5000  1.13

V = 104.68 Å³ per cell
Density of states at the Fermi level = 0.9816 states/eV per atom
DFT formation energy = 1.3711 eV per atom
Magnetization = 1.02 μB per atom


The following is a DFT calculation (GGA-PBE) of Ho3Tm5In after structural relaxation.

a b c (Å): 8.1674 8.1674 12.8016
angles (deg): 60.91 60.91 87.03
Positions (direct):
Ho  0.6876  0.6876  0.8140
Tm  0.3417  0.3417  0.4087
Ho  0.3303  0.3303  0.6727
Tm  0.6583  0.6583  0.5913
Ho  0.3124  0.3124  0.1860
Tm  0.6486  0.1329  0.7941
Tm  0.2684  0.7316  0.0000
Tm  0.3199  0.3199  0.9430
In  0.9673  0.9673  0.2680
Ho  0.0000  0.0000  0.5000
Ho  0.0000  0.0000  0.0000
Tm  0.3514  0.8671  0.2059
In  0.0327  0.0327  0.7320
Ho  0.6697  0.6697  0.3273
Tm  0.7316  0.2684  0.0000
Tm  0.1329  0.6486  0.7941
Tm  0.6801  0.6801  0.0570
Tm  0.8671  0.3514  0.2059

V = 632.77 Å³ per cell
Density of states at the Fermi level = 1.5579 states/eV per atom
DFT formation energy = 0.3909 eV per atom
Magnetization = 0.00 μB per atom


The following is a DFT calculation (GGA-PBE) of La4HoMg5 after structural relaxation.

a b c (Å): 3.9218 3.9218 19.6738
angles (deg): 90.00 90.00 90.00
Positions (direct):
Ho  0.0000  0.0000  0.0000
Mg  0.5000  0.5000  0.5000
La  0.0000  0.0000  0.6026
Mg  0.5000  0.5000  0.9098
La  0.0000  0.0000  0.1934
La  0.0000  0.0000  0.8066
La  0.0000  0.0000  0.3974
Mg  0.5000  0.5000  0.2958
Mg  0.5000  0.5000  0.7042
Mg  0.5000  0.5000  0.0902

V = 302.59 Å³ per cell
Density of states at the Fermi level = 1.1960 states/eV per atom
DFT formation energy = -0.1041 eV per atom
Magnetization = 0.00 μB per atom


The following is a DFT calculation (GGA-PBE) of CrS8Cl2 after structural relaxation.

a b c (Å): 9.1638 8.1486 8.1486
angles (deg): 43.58 126.82 126.82
Each line ends with the local moment (μB).
Positions (direct):
S  0.8167  0.3149  0.3149  -0.07
S  0.9608  0.3590  0.8534  -0.07
S  0.0392  0.6410  0.1466  -0.07
S  0.0392  0.1466  0.6410  -0.07
S  0.7432  0.5129  0.5129  -0.04
S  0.2568  0.4871  0.4871  -0.04
S  0.9608  0.8534  0.3590  -0.07
S  0.1833  0.6851  0.6851  -0.07
Cl  0.6909  0.8265  0.8265  0.04
Cl  0.3091  0.1735  0.1735  0.04
Cr  0.0000  0.0000  0.0000  2.63

E_form (uncorrected) = 38 kJ/mol of formula units
V = 320.39 Å³ per cell
Density of states at the Fermi level = 0.3548 states/eV per atom
Magnetization = 0.20 μB per atom


The following is a DFT calculation (GGA-PBE) of Be3Al after structural relaxation.

a b c (Å): 7.6191 7.6191 7.6191
angles (deg): 19.44 19.44 19.44
Positions (direct):
Be  0.7572  0.7572  0.7572
Al  0.0000  0.0000  0.0000
Be  0.2428  0.2428  0.2428
Be  0.5000  0.5000  0.5000

V = 42.85 Å³ per cell
Density of states at the Fermi level = 0.1882 states/eV per atom
DFT formation energy = 0.2967 eV per atom
Magnetization = 0.00 μB per atom